[1]
Below is a relaxed Ba2Hg16Pb crystal, with properties calculated at the GGA-PBE level.

The structure in POSCAR format:
```
Ba2Hg16Pb
1.0
-6.372 1.028 -5.202
-4.957 -6.230 2.309
-5.398 3.986 4.868
Hg Pb Ba
16 1 2
direct
0.348 0.889 0.348 Hg
0.613 0.613 0.217 Hg
0.299 0.004 0.698 Hg
0.535 0.961 0.961 Hg
0.348 0.348 0.889 Hg
0.698 0.299 0.004 Hg
0.961 0.961 0.535 Hg
0.004 0.698 0.299 Hg
0.889 0.348 0.348 Hg
0.111 0.111 0.111 Hg
0.698 0.004 0.299 Hg
0.961 0.535 0.961 Hg
0.004 0.299 0.698 Hg
0.299 0.698 0.004 Hg
0.613 0.217 0.613 Hg
0.217 0.613 0.613 Hg
0.920 0.920 0.920 Pb
0.656 0.656 0.656 Ba
0.326 0.326 0.326 Ba
```

Computed properties:
D(E_F) ... 8.39 states/eV/cell
Theoretical density ... 11.3 g cm⁻³
Crystal system ... trigonal
Energy of formation from the pure elements ... -0.185 eV/atom
Total moment ... 0.0 μB per formula unit
V ... 541.6 Å³/cell

[2]
Below is a relaxed PmSm3Dy6Er2 crystal, with properties calculated at the GGA-PBE level.

The structure in POSCAR format:
```
PmSm3Dy6Er2
1.0
6.175 0.001 0.009
-3.085 5.349 0.009
-1.042 -1.804 11.626
Sm Dy Er Pm
3 6 2 1
direct
0.500 0.500 0.500 Sm
0.833 0.167 0.500 Sm
0.167 0.833 0.500 Sm
0.083 0.417 0.248 Dy
0.583 0.917 0.752 Dy
0.917 0.583 0.752 Dy
0.749 0.749 0.248 Dy
0.251 0.251 0.752 Dy
0.417 0.083 0.248 Dy
0.667 0.333 0.000 Er
0.333 0.667 0.000 Er
0.000 0.000 0.000 Pm
```

Computed properties:
D(E_F) ... 15.14 states/eV/cell
Theoretical density ... 8.2 g cm⁻³
Crystal system ... monoclinic
Energy of formation from the pure elements ... 0.016 eV/atom
Total moment ... 0.0 μB per formula unit
V ... 384.2 Å³/cell

[3]
Below is a relaxed Sr3CaSe crystal, with properties calculated at the GGA-PBE level.

The structure in POSCAR format:
```
Sr3CaSe
1.0
6.128 0.000 0.000
0.000 6.128 0.000
0.000 0.000 6.128
Ca Sr Se
1 3 1
direct
0.500 0.500 0.500 Ca
0.000 0.500 0.000 Sr
0.500 0.000 0.000 Sr
0.000 0.000 0.500 Sr
0.000 0.000 0.000 Se
```

Computed properties:
D(E_F) ... 3.55 states/eV/cell
Theoretical density ... 2.8 g cm⁻³
ΔE to the lowest computed polymorph ... 0 meV per atom
Crystal system ... cubic
Total moment ... 0.0 μB per formula unit
Formation energy without anion corrections ... -0.688 eV per atom
V ... 230.1 Å³/cell